# SmDy7Ho12 | Alexandria via LeMat-Bulk | PBE-GGA | relaxed
data_SmDy7Ho12
_space_group_name_H-M_alt 'P 1'
_space_group_IT_number 1
_space_group_name_Hall 'P 1'
_cell_length_a 9.708
_cell_length_b 9.708
_cell_length_c 9.708
_cell_angle_alpha 109.47
_cell_angle_beta 109.47
_cell_angle_gamma 109.47
loop_
_atom_site_label
_atom_site_type_symbol
_atom_site_fract_x
_atom_site_fract_y
_atom_site_fract_z
Sm1 Sm 0.000 0.000 0.000
Dy1 Dy 0.500 0.500 0.000
Dy2 Dy 0.000 0.500 0.500
Dy3 Dy 0.500 0.000 0.500
Dy4 Dy 0.500 0.500 0.500
Dy5 Dy 0.000 0.000 0.500
Dy6 Dy 0.500 0.000 0.000
Dy7 Dy 0.000 0.500 0.000
Ho1 Ho 0.495 0.748 0.747
Ho2 Ho 0.001 0.748 0.253
Ho3 Ho 0.505 0.252 0.253
Ho4 Ho 0.999 0.252 0.747
Ho5 Ho 0.747 0.999 0.252
Ho6 Ho 0.747 0.495 0.748
Ho7 Ho 0.253 0.001 0.748
Ho8 Ho 0.253 0.505 0.252
Ho9 Ho 0.748 0.747 0.495
Ho10 Ho 0.252 0.253 0.505
Ho11 Ho 0.748 0.253 0.001
Ho12 Ho 0.252 0.747 0.999
# SG ... Im-3
# Energy of formation from the pure elements ... 0.71 eV/atom

# Sm6Dy2Ho3 | Alexandria via LeMat-Bulk | PBE-GGA | relaxed
data_Sm6Dy2Ho3
_space_group_name_H-M_alt 'P 1'
_space_group_IT_number 1
_space_group_name_Hall 'P 1'
_cell_length_a 4.754
_cell_length_b 4.754
_cell_length_c 17.066
_cell_angle_alpha 98.01
_cell_angle_beta 98.01
_cell_angle_gamma 90.00
loop_
_atom_site_label
_atom_site_type_symbol
_atom_site_fract_x
_atom_site_fract_y
_atom_site_fract_z
Sm1 Sm 0.121 0.621 0.241
Sm2 Sm 0.621 0.121 0.241
Sm3 Sm 0.879 0.379 0.759
Sm4 Sm 0.379 0.879 0.759
Sm5 Sm 0.699 0.699 0.398
Sm6 Sm 0.301 0.301 0.602
Dy1 Dy 0.455 0.455 0.909
Dy2 Dy 0.545 0.545 0.091
Ho1 Ho 0.000 0.000 0.000
Ho2 Ho 0.802 0.802 0.603
Ho3 Ho 0.198 0.198 0.397
# SG ... I4/mmm
# Energy of formation from the pure elements ... 0.29 eV/atom

# Sm2Dy4Ho5 | Alexandria via LeMat-Bulk | PBE-GGA | relaxed
data_Sm2Dy4Ho5
_space_group_name_H-M_alt 'P 1'
_space_group_IT_number 1
_space_group_name_Hall 'P 1'
_cell_length_a 3.487
_cell_length_b 9.010
_cell_length_c 12.526
_cell_angle_alpha 111.08
_cell_angle_beta 98.00
_cell_angle_gamma 90.00
loop_
_atom_site_label
_atom_site_type_symbol
_atom_site_fract_x
_atom_site_fract_y
_atom_site_fract_z
Sm1 Sm 0.268 0.268 0.536
Sm2 Sm 0.732 0.732 0.464
Dy1 Dy 0.000 0.308 0.000
Dy2 Dy 0.597 0.597 0.194
Dy3 Dy 0.000 0.692 0.000
Dy4 Dy 0.403 0.403 0.806
Ho1 Ho 0.857 0.053 0.714
Ho2 Ho 0.857 0.661 0.714
Ho3 Ho 0.143 0.339 0.286
Ho4 Ho 0.143 0.947 0.286
Ho5 Ho 0.500 0.000 0.000
# SG ... Immm
# Energy of formation from the pure elements ... 0.22 eV/atom